(1)
# Al3HAu, relaxed, DFT GGA-PBEsol
# Total moment   0.0 μB/cell
# D(E_F)   1.6 states/eV per cell
# Raw total energy   -3.90 eV/atom
data_Al3HAu
_cell_length_a 4.0404
_cell_length_b 4.0404
_cell_length_c 4.0404
_cell_angle_alpha 90.00
_cell_angle_beta 90.00
_cell_angle_gamma 90.00
_symmetry_space_group_name_H-M 'P m -3 m'
_symmetry_Int_Tables_number 221
_symmetry_space_group_name_Hall '-P 4 2 3'
loop_
_atom_site_label
_atom_site_fract_x
_atom_site_fract_y
_atom_site_fract_z
_atom_site_occupancy
Al1 0.0000 0.0000 0.5000 1
H1 0.0000 0.0000 0.0000 1
Au1 0.5000 0.5000 0.5000 1

(2)
# NbReS2, relaxed, DFT GGA-PBEsol
# Total moment   0.0 μB/cell
# E_form (uncorrected)   -0.2190 eV/atom
# D(E_F)   8.1 states/eV per cell
# Raw total energy   -8.45 eV/atom
data_NbReS2
_cell_length_a 4.2875
_cell_length_b 4.2875
_cell_length_c 14.4863
_cell_angle_alpha 90.00
_cell_angle_beta 90.00
_cell_angle_gamma 90.00
_symmetry_space_group_name_H-M 'I -4 2 d'
_symmetry_Int_Tables_number 122
_symmetry_space_group_name_Hall 'I -4 2bw'
loop_
_atom_site_label
_atom_site_fract_x
_atom_site_fract_y
_atom_site_fract_z
_atom_site_occupancy
Nb1 0.0000 0.0000 0.0000 1
Re1 0.0000 0.0000 0.5000 1
S1 0.2318 0.2500 0.6250 1

(3)
# MnTc2Te, relaxed, DFT GGA-PBEsol
# Total moment   2.8 μB/cell
# E_form (uncorrected)   0.4062 eV/atom
# D(E_F)   3.5 states/eV per cell
# Raw total energy   -8.55 eV/atom
data_MnTc2Te
_cell_length_a 4.4908
_cell_length_b 2.9972
_cell_length_c 4.8763
_cell_angle_alpha 90.00
_cell_angle_beta 111.05
_cell_angle_gamma 90.00
_symmetry_space_group_name_H-M 'P 1 2/m 1'
_symmetry_Int_Tables_number 10
_symmetry_space_group_name_Hall '-P 2y'
loop_
_atom_site_label
_atom_site_fract_x
_atom_site_fract_y
_atom_site_fract_z
_atom_site_occupancy
Mn1 0.0000 0.0000 0.0000 1
Tc1 0.5000 0.0000 0.5000 1
Tc2 0.5000 0.5000 0.0000 1
Te1 0.0000 0.5000 0.5000 1

(4)
# NiPt2Rh, relaxed, DFT GGA-PBEsol
# Total moment   3.1 μB/cell
# D(E_F)   13.6 states/eV per cell
# Raw total energy   -7.05 eV/atom
# Energy of formation   1 kJ/mol of formula units
data_NiPt2Rh
_cell_length_a 8.8604
_cell_length_b 2.7006
_cell_length_c 4.6465
_cell_angle_alpha 90.00
_cell_angle_beta 100.56
_cell_angle_gamma 90.00
_symmetry_space_group_name_H-M 'C 1 2/m 1'
_symmetry_Int_Tables_number 12
_symmetry_space_group_name_Hall '-C 2y'
loop_
_atom_site_label
_atom_site_fract_x
_atom_site_fract_y
_atom_site_fract_z
_atom_site_occupancy
Ni1 0.0000 0.0000 0.0000 1
Pt1 0.2470 0.5000 0.2470 1
Rh1 0.0000 0.5000 0.5000 1

(5)
# Zn2CdPt2, relaxed, DFT GGA-PBEsol
# Total moment   0.0 μB/cell
# D(E_F)   3.3 states/eV per cell
# Raw total energy   -3.93 eV/atom
# Energy of formation   -133 kJ/mol of formula units
data_Zn2CdPt2
_cell_length_a 3.6549
_cell_length_b 3.6549
_cell_length_c 12.3578
_cell_angle_alpha 90.00
_cell_angle_beta 90.00
_cell_angle_gamma 90.00
_symmetry_space_group_name_H-M 'I 4/m m m'
_symmetry_Int_Tables_number 139
_symmetry_space_group_name_Hall '-I 4 2'
loop_
_atom_site_label
_atom_site_fract_x
_atom_site_fract_y
_atom_site_fract_z
_atom_site_occupancy
Zn1 0.0000 0.5000 0.2500 1
Cd1 0.0000 0.0000 0.0000 1
Pt1 0.0000 0.0000 0.3938 1

(6)
# MgIn2Ag, relaxed, DFT GGA-PBEsol
# Total moment   0.0 μB/cell
# D(E_F)   1.4 states/eV per cell
# Raw total energy   -2.80 eV/atom
# Energy of formation   -21 kJ/mol of formula units
data_MgIn2Ag
_cell_length_a 3.3967
_cell_length_b 4.4587
_cell_length_c 5.9879
_cell_angle_alpha 90.00
_cell_angle_beta 106.49
_cell_angle_gamma 90.00
_symmetry_space_group_name_H-M 'P 1 m 1'
_symmetry_Int_Tables_number 6
_symmetry_space_group_name_Hall 'P -2y'
loop_
_atom_site_label
_atom_site_fract_x
_atom_site_fract_y
_atom_site_fract_z
_atom_site_occupancy
Mg1 0.0000 0.0000 0.0000 1
In1 0.3334 0.5000 0.6771 1
In2 0.7286 0.0000 0.4594 1
Ag1 0.5810 0.5000 0.1605 1